The following is a GGA+U calculation of crystalline Na2SrNiF6 at its relaxed geometry, from the Alexandria database.

a = 5.695 Å, b = 6.008 Å, c = 8.288 Å
α = 90.00°, β = 89.54°, γ = 90.00°
Each line ends with the local moment (μB).
Element x y z (fractional)
Na 0.003 0.954 0.269  0.00
Na 0.503 0.546 0.769  0.00
Na 0.997 0.046 0.731  0.00
Na 0.497 0.454 0.231  0.00
Sr 0.500 0.000 0.000  0.00
Sr 0.000 0.500 0.500  0.00
Ni 0.500 0.000 0.500  1.80
Ni 0.000 0.500 0.000  1.80
F 0.302 0.658 0.044  0.01
F 0.802 0.842 0.544  0.01
F 0.698 0.342 0.956  0.01
F 0.198 0.158 0.456  0.01
F 0.343 0.713 0.413  0.02
F 0.843 0.787 0.913  0.02
F 0.657 0.287 0.587  0.02
F 0.157 0.213 0.087  0.02
F 0.876 0.587 0.226  0.03
F 0.376 0.913 0.726  0.03
F 0.124 0.413 0.774  0.03
F 0.624 0.087 0.274  0.03

Results
SG: P2_1/c, No. 14



The following is a GGA+U calculation of crystalline LiFeF4 at its relaxed geometry, from the Alexandria database.

a = 17.353 Å, b = 5.024 Å, c = 7.663 Å
α = 92.72°, β = 90.00°, γ = 90.00°
Each line ends with the local moment (μB).
Element x y z (fractional)
Li 0.952 0.041 0.655  0.00
Li 0.548 0.041 0.155  0.00
Li 0.325 0.520 0.686  0.01
Li 0.175 0.520 0.186  0.01
Li 0.825 0.480 0.814  0.01
Li 0.675 0.480 0.314  0.01
Li 0.452 0.959 0.845  0.00
Li 0.048 0.959 0.345  0.00
Fe 0.091 0.017 0.967  4.45
Fe 0.623 0.518 0.887  4.44
Fe 0.409 0.017 0.467  4.45
Fe 0.877 0.518 0.387  4.44
Fe 0.123 0.482 0.613  4.44
Fe 0.591 0.983 0.533  4.45
Fe 0.377 0.482 0.113  4.44
Fe 0.909 0.983 0.033  4.45
F 0.636 0.709 0.667  0.13
F 0.864 0.709 0.167  0.13
F 0.897 0.777 0.818  0.11
F 0.603 0.777 0.318  0.11
F 0.171 0.795 0.025  0.13
F 0.329 0.795 0.525  0.13
F 0.012 0.819 0.103  0.11
F 0.548 0.773 0.962  0.11
F 0.488 0.819 0.603  0.11
F 0.952 0.773 0.462  0.11
F 0.727 0.588 0.912  0.14
F 0.773 0.588 0.412  0.14
F 0.122 0.680 0.404  0.10
F 0.378 0.680 0.904  0.10
F 0.076 0.777 0.746  0.12
F 0.576 0.223 0.754  0.12
F 0.424 0.777 0.246  0.12
F 0.924 0.223 0.254  0.12
F 0.622 0.320 0.096  0.10
F 0.878 0.320 0.596  0.10
F 0.227 0.412 0.588  0.14
F 0.273 0.412 0.088  0.14
F 0.048 0.227 0.538  0.11
F 0.512 0.181 0.397  0.11
F 0.452 0.227 0.038  0.11
F 0.988 0.181 0.897  0.11
F 0.671 0.205 0.475  0.13
F 0.829 0.205 0.975  0.13
F 0.397 0.223 0.682  0.11
F 0.103 0.223 0.182  0.11
F 0.136 0.291 0.833  0.13
F 0.364 0.291 0.333  0.13

Results
Distance to the lowest polymorph of the same formula: 61 meV/atom
SG: P2_1/c, No. 14



| no. | uncorrected energy (eV per atom) |
| --- | --- |
| 1 | -4.704 |
| 2 | -5.090 |